[1]
The following is a DFT calculation (PBE-GGA) of a relaxed structure of Th2Pa5Co4.

```
data_Th2Pa5Co4
_cell_length_a 6.206
_cell_length_b 11.958
_cell_length_c 12.977
_cell_angle_alpha 90.00
_cell_angle_beta 90.00
_cell_angle_gamma 90.00
_symmetry_space_group_name_H-M 'F m m m'
_symmetry_Int_Tables_number 69
_symmetry_space_group_name_Hall '-F 2 2'
loop_
_atom_site_label
_atom_site_fract_x
_atom_site_fract_y
_atom_site_fract_z
Th1 0.000 0.000 0.141
Pa1 0.000 0.000 0.500
Pa2 0.250 0.250 0.000
Pa3 0.250 0.250 0.250
Co1 0.000 0.107 0.340
```

total DFT energy (no corrections): -367.8 eV per cell
D(E_F): 19.05 states/eV/f.u.
M_tot: 0.00 μB/cell
formation energy from the elements: -0.11 eV/atom

***

[2]
The following is a DFT calculation (PBE-GGA) of a relaxed structure of ThPa2Co2.

```
data_ThPa2Co2
_cell_length_a 15.735
_cell_length_b 3.666
_cell_length_c 10.362
_cell_angle_alpha 90.00
_cell_angle_beta 131.13
_cell_angle_gamma 90.00
_symmetry_space_group_name_H-M 'C 1 2/m 1'
_symmetry_Int_Tables_number 12
loop_
_symmetry_equiv_pos_as_xyz
'x,y,z'
'-x,-y,-z'
'-x,y,-z'
'x,-y,z'
'x+1/2,y+1/2,z'
'-x+1/2,-y+1/2,-z'
'-x+1/2,y+1/2,-z'
'x+1/2,-y+1/2,z'
loop_
_atom_site_label
_atom_site_fract_x
_atom_site_fract_y
_atom_site_fract_z
Th1 0.131 0.000 0.463
Pa1 0.114 0.500 0.821
Pa2 0.147 0.000 0.146
Co1 0.037 0.500 0.157
Co2 0.220 0.000 0.811
```

total DFT energy (no corrections): -165.1 eV per cell
D(E_F): 6.51 states/eV/f.u.
M_tot: 0.00 μB/cell
formation energy from the elements: -0.13 eV/atom

***

[3]
The following is a DFT calculation (PBE-GGA) of a relaxed structure of Th2PaCo3.

```
data_Th2PaCo3
_cell_length_a 12.491
_cell_length_b 7.365
_cell_length_c 5.439
_cell_angle_alpha 90.00
_cell_angle_beta 90.00
_cell_angle_gamma 90.00
_symmetry_space_group_name_H-M 'C m c m'
_symmetry_Int_Tables_number 63
_symmetry_space_group_name_Hall '-C 2c 2'
loop_
_atom_site_label
_atom_site_fract_x
_atom_site_fract_y
_atom_site_fract_z
Th1 0.166 0.165 0.250
Pa1 0.000 0.336 0.750
Co1 0.000 0.000 0.000
Co2 0.154 0.500 0.000
```

total DFT energy (no corrections): -189.9 eV per cell
D(E_F): 5.23 states/eV/f.u.
M_tot: 0.00 μB/cell
formation energy from the elements: -0.30 eV/atom

***

[4]
The following is a DFT calculation (PBE-GGA) of a relaxed structure of Th2Pa3Co4.

```
data_Th2Pa3Co4
_cell_length_a 7.055
_cell_length_b 7.652
_cell_length_c 7.299
_cell_angle_alpha 90.00
_cell_angle_beta 112.57
_cell_angle_gamma 90.00
_symmetry_space_group_name_H-M 'P 1 21/c 1'
_symmetry_Int_Tables_number 14
loop_
_symmetry_equiv_pos_as_xyz
'x,y,z'
'-x,-y,-z'
'-x,y+1/2,-z+1/2'
'x,-y+1/2,z+1/2'
loop_
_atom_site_label
_atom_site_fract_x
_atom_site_fract_y
_atom_site_fract_z
Th1 0.186 0.181 0.073
Pa1 0.248 0.656 0.267
Pa2 0.500 0.000 0.500
Co1 0.108 0.538 0.879
Co2 0.500 0.118 0.868
```

total DFT energy (no corrections): -149.0 eV per cell
D(E_F): 10.16 states/eV/f.u.
M_tot: 0.00 μB/cell
formation energy from the elements: -0.31 eV/atom

***

[5]
The following is a DFT calculation (PBE-GGA) of a relaxed structure of ThPa2Co.

```
data_ThPa2Co
_cell_length_a 4.2223
_cell_length_b 4.2223
_cell_length_c 18.2638
_cell_angle_alpha 90.00
_cell_angle_beta 90.00
_cell_angle_gamma 120.00
_symmetry_space_group_name_H-M 'R -3 m'
_symmetry_Int_Tables_number 166
_symmetry_space_group_name_Hall '-R 3 2"'
loop_
_atom_site_label
_atom_site_fract_x
_atom_site_fract_y
_atom_site_fract_z
Th1 0.0000 0.0000 0.0000
Pa1 0.0000 0.0000 0.2329
Co1 0.0000 0.0000 0.5000
```

total DFT energy (no corrections): -96.7 eV per cell
ΔE to the lowest computed polymorph: 518 meV/atom
D(E_F): 7.82 states/eV/f.u.
M_tot: 0.00 μB/cell
formation energy from the elements: 0.32 eV/atom

***

[6]
The following is a DFT calculation (PBE-GGA) of a relaxed structure of ThPaCo2.

```
data_ThPaCo2
_cell_length_a 3.640
_cell_length_b 3.979
_cell_length_c 5.679
_cell_angle_alpha 90.00
_cell_angle_beta 106.13
_cell_angle_gamma 90.00
_symmetry_space_group_name_H-M 'P 1 m 1'
_symmetry_Int_Tables_number 6
loop_
_symmetry_equiv_pos_as_xyz
'x,y,z'
'x,-y,z'
loop_
_atom_site_label
_atom_site_fract_x
_atom_site_fract_y
_atom_site_fract_z
Th1 0.000 0.000 0.000
Pa1 0.717 0.500 0.470
Co1 0.247 0.000 0.528
Co2 0.453 0.500 0.891
```

total DFT energy (no corrections): -32.5 eV per cell
ΔE to the lowest computed polymorph: 0 meV/atom
D(E_F): 3.68 states/eV/f.u.
M_tot: 0.00 μB/cell
formation energy from the elements: -0.34 eV/atom

***

[7]
The following is a DFT calculation (PBE-GGA) of a relaxed structure of ThPa2Co.

```
data_ThPa2Co
_cell_length_a 3.5175
_cell_length_b 3.5175
_cell_length_c 27.1661
_cell_angle_alpha 90.00
_cell_angle_beta 90.00
_cell_angle_gamma 120.00
_symmetry_space_group_name_H-M 'R 3 m'
_symmetry_Int_Tables_number 160
_symmetry_space_group_name_Hall 'R 3 -2"'
loop_
_atom_site_label
_atom_site_fract_x
_atom_site_fract_y
_atom_site_fract_z
Th1 0.0000 0.0000 0.0000
Pa1 0.0000 0.0000 0.2286
Pa2 0.0000 0.0000 0.4369
Co1 0.0000 0.0000 0.8297
```

total DFT energy (no corrections): -100.8 eV per cell
ΔE to the lowest computed polymorph: 180 meV/atom
D(E_F): 5.74 states/eV/f.u.
M_tot: 0.00 μB/cell
formation energy from the elements: -0.02 eV/atom

***

[8]
The following is a DFT calculation (PBE-GGA) of a relaxed structure of ThPaCo2.

```
data_ThPaCo2
_cell_length_a 3.7776
_cell_length_b 3.7776
_cell_length_c 20.0859
_cell_angle_alpha 90.00
_cell_angle_beta 90.00
_cell_angle_gamma 120.00
_symmetry_space_group_name_H-M 'R 3 m'
_symmetry_Int_Tables_number 160
_symmetry_space_group_name_Hall 'R 3 -2"'
loop_
_atom_site_label
_atom_site_fract_x
_atom_site_fract_y
_atom_site_fract_z
Th1 0.0000 0.0000 0.0000
Pa1 0.0000 0.0000 0.8275
Co1 0.0000 0.0000 0.2398
Co2 0.0000 0.0000 0.4212
```

total DFT energy (no corrections): -95.6 eV per cell
ΔE to the lowest computed polymorph: 152 meV/atom
D(E_F): 3.09 states/eV/f.u.
M_tot: 0.00 μB/cell
formation energy from the elements: -0.19 eV/atom

***

[9]
The following is a DFT calculation (PBE-GGA) of a relaxed structure of ThPa2Co9.

```
data_ThPa2Co9
_cell_length_a 4.8867
_cell_length_b 4.8867
_cell_length_c 24.6519
_cell_angle_alpha 90.00
_cell_angle_beta 90.00
_cell_angle_gamma 120.00
_symmetry_space_group_name_H-M 'R -3 m'
_symmetry_Int_Tables_number 166
_symmetry_space_group_name_Hall '-R 3 2"'
loop_
_atom_site_label
_atom_site_fract_x
_atom_site_fract_y
_atom_site_fract_z
Th1 0.0000 0.0000 0.0000
Pa1 0.0000 0.0000 0.1381
Co1 0.0000 0.0000 0.3331
Co2 0.0000 0.0000 0.5000
Co3 0.9997 0.4998 0.0831
```

total DFT energy (no corrections): -280.6 eV per cell
D(E_F): 18.13 states/eV/f.u.
M_tot: 13.69 μB/cell
formation energy from the elements: -0.27 eV/atom

***

[10]
The following is a DFT calculation (PBE-GGA) of a relaxed structure of Th4PaCo5.

```
data_Th4PaCo5
_cell_length_a 9.237
_cell_length_b 9.237
_cell_length_c 4.867
_cell_angle_alpha 90.00
_cell_angle_beta 90.00
_cell_angle_gamma 90.00
_symmetry_space_group_name_H-M 'I 4 m m'
_symmetry_Int_Tables_number 107
_symmetry_space_group_name_Hall 'I 4 -2'
loop_
_atom_site_label
_atom_site_fract_x
_atom_site_fract_y
_atom_site_fract_z
Th1 0.000 0.292 0.000
Pa1 0.000 0.000 0.529
Co1 0.000 0.000 0.031
Co2 0.203 0.203 0.479
```

total DFT energy (no corrections): -152.8 eV per cell
D(E_F): 7.39 states/eV/f.u.
M_tot: 0.00 μB/cell
formation energy from the elements: -0.17 eV/atom

***

[11]
The following is a DFT calculation (PBE-GGA) of a relaxed structure of ThPaCo2.

```
data_ThPaCo2
_cell_length_a 5.577
_cell_length_b 4.008
_cell_length_c 7.299
_cell_angle_alpha 90.00
_cell_angle_beta 96.70
_cell_angle_gamma 90.00
_symmetry_space_group_name_H-M 'P 1 21/m 1'
_symmetry_Int_Tables_number 11
loop_
_symmetry_equiv_pos_as_xyz
'x,y,z'
'-x,-y,-z'
'-x,y+1/2,-z'
'x,-y+1/2,z'
loop_
_atom_site_label
_atom_site_fract_x
_atom_site_fract_y
_atom_site_fract_z
Th1 0.225 0.250 0.339
Pa1 0.295 0.250 0.849
Co1 0.176 0.750 0.041
Co2 0.272 0.750 0.630
```

total DFT energy (no corrections): -64.9 eV per cell
ΔE to the lowest computed polymorph: 4 meV/atom
D(E_F): 3.70 states/eV/f.u.
M_tot: 0.00 μB/cell
formation energy from the elements: -0.33 eV/atom

***

[12]
The following is a DFT calculation (PBE-GGA) of a relaxed structure of ThPaCo2.

```
data_ThPaCo2
_cell_length_a 3.8452
_cell_length_b 3.8452
_cell_length_c 19.1596
_cell_angle_alpha 90.00
_cell_angle_beta 90.00
_cell_angle_gamma 120.00
_symmetry_space_group_name_H-M 'R -3 m'
_symmetry_Int_Tables_number 166
_symmetry_space_group_name_Hall '-R 3 2"'
loop_
_atom_site_label
_atom_site_fract_x
_atom_site_fract_y
_atom_site_fract_z
Th1 0.0000 0.0000 0.0000
Pa1 0.0000 0.0000 0.5000
Co1 0.0000 0.0000 0.2435
```

total DFT energy (no corrections): -97.0 eV per cell
ΔE to the lowest computed polymorph: 34 meV/atom
D(E_F): 2.26 states/eV/f.u.
M_tot: 0.00 μB/cell
formation energy from the elements: -0.30 eV/atom

***

[13]
The following is a DFT calculation (PBE-GGA) of a relaxed structure of Tm2ThPaCo2.

```
data_Tm2ThPaCo2
_cell_length_a 7.055
_cell_length_b 11.991
_cell_length_c 6.930
_cell_angle_alpha 90.00
_cell_angle_beta 90.00
_cell_angle_gamma 90.00
_symmetry_space_group_name_H-M 'I b a m'
_symmetry_Int_Tables_number 72
_symmetry_space_group_name_Hall '-I 2 2c'
loop_
_atom_site_label
_atom_site_fract_x
_atom_site_fract_y
_atom_site_fract_z
Tm1 0.195 0.206 0.000
Th1 0.000 0.500 0.250
Pa1 0.000 0.000 0.250
Co1 0.218 0.077 0.500
```

total DFT energy (no corrections): -164.6 eV per cell
D(E_F): 4.44 states/eV/f.u.
M_tot: 0.00 μB/cell
formation energy from the elements: -0.18 eV/atom

***

[14]
The following is a DFT calculation (PBE-GGA) of a relaxed structure of Pa2TiCo2.

```
data_Pa2TiCo2
_cell_length_a 3.431
_cell_length_b 5.612
_cell_length_c 5.663
_cell_angle_alpha 62.52
_cell_angle_beta 72.59
_cell_angle_gamma 72.92
_symmetry_space_group_name_H-M 'P -1'
_symmetry_Int_Tables_number 2
loop_
_symmetry_equiv_pos_as_xyz
'x,y,z'
'-x,-y,-z'
loop_
_atom_site_label
_atom_site_fract_x
_atom_site_fract_y
_atom_site_fract_z
Pa1 0.198 0.327 0.281
Ti1 0.000 0.000 0.000
Co1 0.454 0.755 0.331
```

total DFT energy (no corrections): -42.3 eV per cell
D(E_F): 5.88 states/eV/f.u.
M_tot: 0.00 μB/cell
formation energy from the elements: -0.25 eV/atom

***

[15]
The following is a DFT calculation (PBE-GGA) of a relaxed structure of PaTi2Co.

```
data_PaTi2Co
_cell_length_a 3.001
_cell_length_b 3.001
_cell_length_c 7.612
_cell_angle_alpha 90.00
_cell_angle_beta 90.00
_cell_angle_gamma 90.00
_symmetry_space_group_name_H-M 'P 4/m m m'
_symmetry_Int_Tables_number 123
_symmetry_space_group_name_Hall '-P 4 2'
loop_
_atom_site_label
_atom_site_fract_x
_atom_site_fract_y
_atom_site_fract_z
Pa1 0.000 0.000 0.000
Ti1 0.500 0.500 0.307
Co1 0.000 0.000 0.500
```

total DFT energy (no corrections): -32.8 eV per cell
ΔE to the lowest computed polymorph: 54 meV/atom
D(E_F): 9.14 states/eV/f.u.
M_tot: 0.04 μB/cell
formation energy from the elements: -0.10 eV/atom

***

[16]
The following is a DFT calculation (PBE-GGA) of a relaxed structure of PaTiCo2.

```
data_PaTiCo2
_cell_length_a 7.306
_cell_length_b 4.234
_cell_length_c 4.852
_cell_angle_alpha 90.00
_cell_angle_beta 119.79
_cell_angle_gamma 90.00
_symmetry_space_group_name_H-M 'C 1 2/m 1'
_symmetry_Int_Tables_number 12
loop_
_symmetry_equiv_pos_as_xyz
'x,y,z'
'-x,-y,-z'
'-x,y,-z'
'x,-y,z'
'x+1/2,y+1/2,z'
'-x+1/2,-y+1/2,-z'
'-x+1/2,y+1/2,-z'
'x+1/2,-y+1/2,z'
loop_
_atom_site_label
_atom_site_fract_x
_atom_site_fract_y
_atom_site_fract_z
Pa1 0.000 0.000 0.000
Ti1 0.000 0.500 0.500
Co1 0.213 0.000 0.641
```

total DFT energy (no corrections): -65.5 eV per cell
ΔE to the lowest computed polymorph: 19 meV/atom
D(E_F): 3.70 states/eV/f.u.
M_tot: 0.00 μB/cell
formation energy from the elements: -0.29 eV/atom

***

[17]
The following is a DFT calculation (PBE-GGA) of a relaxed structure of Pa2TiCo9.

```
data_Pa2TiCo9
_cell_length_a 3.773
_cell_length_b 3.773
_cell_length_c 11.045
_cell_angle_alpha 90.00
_cell_angle_beta 90.00
_cell_angle_gamma 90.00
_symmetry_space_group_name_H-M 'P 4/m m m'
_symmetry_Int_Tables_number 123
_symmetry_space_group_name_Hall '-P 4 2'
loop_
_atom_site_label
_atom_site_fract_x
_atom_site_fract_y
_atom_site_fract_z
Pa1 0.000 0.000 0.174
Ti1 0.000 0.000 0.500
Co1 0.000 0.500 0.000
Co2 0.000 0.500 0.348
Co3 0.500 0.500 0.174
Co4 0.500 0.500 0.500
```

total DFT energy (no corrections): -94.4 eV per cell
ΔE to the lowest computed polymorph: 0 meV/atom
D(E_F): 11.54 states/eV/f.u.
M_tot: 5.54 μB/cell
formation energy from the elements: -0.30 eV/atom

***

[18]
The following is a DFT calculation (PBE-GGA) of a relaxed structure of PaTi2Co.

```
data_PaTi2Co
_cell_length_a 6.273
_cell_length_b 8.374
_cell_length_c 5.438
_cell_angle_alpha 90.00
_cell_angle_beta 90.00
_cell_angle_gamma 90.00
_symmetry_space_group_name_H-M 'P n m a'
_symmetry_Int_Tables_number 62
loop_
_symmetry_equiv_pos_as_xyz
'x,y,z'
'-x,-y,-z'
'-x+1/2,-y,z+1/2'
'x+1/2,y,-z+1/2'
'x+1/2,-y+1/2,-z+1/2'
'-x+1/2,y+1/2,z+1/2'
'-x,y+1/2,-z'
'x,-y+1/2,z'
loop_
_atom_site_label
_atom_site_fract_x
_atom_site_fract_y
_atom_site_fract_z
Pa1 0.045 0.250 0.144
Ti1 0.182 0.057 0.642
Co1 0.120 0.750 0.425
```

total DFT energy (no corrections): -132.0 eV per cell
ΔE to the lowest computed polymorph: 0 meV/atom
D(E_F): 5.71 states/eV/f.u.
M_tot: 0.00 μB/cell
formation energy from the elements: -0.15 eV/atom

***

[19]
The following is a DFT calculation (PBE-GGA) of a relaxed structure of PaTi2Co.

```
data_PaTi2Co
_cell_length_a 2.9381
_cell_length_b 2.9381
_cell_length_c 27.7573
_cell_angle_alpha 90.00
_cell_angle_beta 90.00
_cell_angle_gamma 120.00
_symmetry_space_group_name_H-M 'R -3 m'
_symmetry_Int_Tables_number 166
_symmetry_space_group_name_Hall '-R 3 2"'
loop_
_atom_site_label
_atom_site_fract_x
_atom_site_fract_y
_atom_site_fract_z
Pa1 0.0000 0.0000 0.0000
Ti1 0.0000 0.0000 0.1002
Co1 0.0000 0.0000 0.5000
```

total DFT energy (no corrections): -94.7 eV per cell
ΔE to the lowest computed polymorph: 358 meV/atom
D(E_F): 5.98 states/eV/f.u.
M_tot: 0.01 μB/cell
formation energy from the elements: 0.21 eV/atom

***

[20]
The following is a DFT calculation (PBE-GGA) of a relaxed structure of Pa5TiCo6.

```
data_Pa5TiCo6
_cell_length_a 5.085
_cell_length_b 6.736
_cell_length_c 7.315
_cell_angle_alpha 108.52
_cell_angle_beta 101.67
_cell_angle_gamma 108.43
_symmetry_space_group_name_H-M 'P -1'
_symmetry_Int_Tables_number 2
loop_
_symmetry_equiv_pos_as_xyz
'x,y,z'
'-x,-y,-z'
loop_
_atom_site_label
_atom_site_fract_x
_atom_site_fract_y
_atom_site_fract_z
Pa1 0.000 0.000 0.000
Pa2 0.294 0.895 0.653
Pa3 0.380 0.386 0.688
Ti1 0.000 0.500 0.000
Co1 0.113 0.473 0.340
Co2 0.144 0.866 0.292
Co3 0.422 0.779 0.972
```

total DFT energy (no corrections): -101.6 eV per cell
D(E_F): 12.31 states/eV/f.u.
M_tot: 0.00 μB/cell
formation energy from the elements: -0.30 eV/atom